## A
Sr2ZnAu: relaxed, PBE.

Calculated values
Density in kg/m3: 6251

Cell lengths 7.7472, 7.7472, 7.7472 Å; angles 90.00, 90.00, 90.00 degrees
With the nearest neighbours (Å) after each atom.
Fractional coordinates of all 16 atoms:
Sr1 0.2500 0.2500 0.2500  4 Zn 3.35, 4 Au 3.35
Sr2 0.2500 0.2500 0.7500  4 Zn 3.35, 4 Au 3.35
Sr3 0.2500 0.7500 0.2500  4 Zn 3.35, 4 Au 3.35
Sr4 0.2500 0.7500 0.7500  4 Zn 3.35, 4 Au 3.35
Sr5 0.7500 0.2500 0.2500  4 Zn 3.35, 4 Au 3.35
Sr6 0.7500 0.2500 0.7500  4 Zn 3.35, 4 Au 3.35
Sr7 0.7500 0.7500 0.2500  4 Zn 3.35, 4 Au 3.35
Sr8 0.7500 0.7500 0.7500  4 Zn 3.35, 4 Au 3.35
Zn1 0.0000 0.0000 0.0000  8 Sr 3.35
Zn2 0.0000 0.5000 0.5000  8 Sr 3.35
Zn3 0.5000 0.0000 0.5000  8 Sr 3.35
Zn4 0.5000 0.5000 0.0000  8 Sr 3.35
Au1 0.0000 0.0000 0.5000  8 Sr 3.35
Au2 0.0000 0.5000 0.0000  8 Sr 3.35
Au3 0.5000 0.0000 0.0000  8 Sr 3.35
Au4 0.5000 0.5000 0.5000  8 Sr 3.35

## B
Sr2ZnAu: relaxed, PBE.

Calculated values
Density in kg/m3: 5883

Cell lengths 6.3120, 4.6419, 8.9727 Å; angles 90.00, 110.01, 90.00 degrees
With the nearest neighbours (Å) after each atom.
Fractional coordinates of all 8 atoms:
Sr1 0.2069 0.2500 0.4267  4 Zn 3.30-3.47, 3 Au 3.31-3.35
Sr2 0.2813 0.7500 0.0689  3 Zn 3.31-3.38, 4 Au 3.33-3.46
Sr3 0.7187 0.2500 0.9311  3 Zn 3.31-3.38, 4 Au 3.33-3.46
Sr4 0.7931 0.7500 0.5733  4 Zn 3.30-3.47, 3 Au 3.31-3.35
Zn1 0.3490 0.7500 0.7189  2 Au 2.76
Zn2 0.6510 0.2500 0.2811  2 Au 2.76
Au1 0.1577 0.2500 0.7825  2 Zn 2.76
Au2 0.8423 0.7500 0.2175  2 Zn 2.76

## C
Sr2ZnAu: relaxed, PBE.

Calculated values
Density in kg/m3: 5348

Cell lengths 4.5782, 4.5894, 6.4665 Å; angles 90.00, 90.00, 90.00 degrees
With the nearest neighbours (Å) after each atom.
Fractional coordinates of all 4 atoms:
Sr1 0.0000 0.0000 0.0000  2 Au 3.23, 4 Zn 3.24
Sr2 0.5000 0.5000 0.4979  2 Zn 3.23-3.24, 4 Au 3.24
Zn1 0.5000 0.5000 0.9971  6 Sr 3.23-3.24
Au1 0.0000 0.0000 0.5003  6 Sr 3.23-3.24

Going by the energies, B is most stable and the next is 66 meV per atom up.

## A
Sr2ZnAu: relaxed, PBE.

Calculated values
Density in kg/m3: 5890

Cell lengths 4.6624, 4.4667, 11.8484 Å; angles 90.00, 90.00, 90.00 degrees
With the nearest neighbours (Å) after each atom.
Fractional coordinates of all 8 atoms:
Sr1 0.0000 0.0000 0.0000  3 Zn 3.30-3.49, 4 Au 3.36
Sr2 0.0000 0.5000 0.5000  3 Zn 3.30-3.49, 4 Au 3.36
Sr3 0.5000 0.0000 0.2838  3 Au 3.31-3.48, 4 Zn 3.36
Sr4 0.5000 0.5000 0.7838  3 Au 3.31-3.48, 4 Zn 3.36
Zn1 0.0000 0.0000 0.7053  2 Au 2.78
Zn2 0.0000 0.5000 0.2053  2 Au 2.78
Au1 0.5000 0.0000 0.5778  2 Zn 2.78
Au2 0.5000 0.5000 0.0778  2 Zn 2.78

## B
Sr2ZnAu: relaxed, PBE.

Calculated values
Density in kg/m3: 5203

Cell lengths 8.4218, 8.4218, 7.8772 Å; angles 90.00, 90.00, 90.00 degrees
With the nearest neighbours (Å) after each atom.
Fractional coordinates of all 16 atoms:
Sr1 0.2377 0.2500 0.1250  2 Au 3.07, 2 Zn 3.21
Sr2 0.2500 0.7377 0.3750  2 Au 3.07, 2 Zn 3.21
Sr3 0.2500 0.7623 0.8750  2 Au 3.07, 2 Zn 3.21
Sr4 0.2623 0.2500 0.6250  2 Au 3.07, 2 Zn 3.21
Sr5 0.7377 0.7500 0.6250  2 Au 3.07, 2 Zn 3.21
Sr6 0.7500 0.2377 0.8750  2 Au 3.07, 2 Zn 3.21
Sr7 0.7500 0.2623 0.3750  2 Au 3.07, 2 Zn 3.21
Sr8 0.7623 0.7500 0.1250  2 Au 3.07, 2 Zn 3.21
Zn1 0.0000 0.0000 0.5000  4 Sr 3.21
Zn2 0.0000 0.5000 0.7500  4 Sr 3.21
Zn3 0.5000 0.0000 0.2500  4 Sr 3.21
Zn4 0.5000 0.5000 0.0000  4 Sr 3.21
Au1 0.0000 0.0000 0.0000  4 Sr 3.07
Au2 0.0000 0.5000 0.2500  4 Sr 3.07
Au3 0.5000 0.0000 0.7500  4 Sr 3.07
Au4 0.5000 0.5000 0.5000  4 Sr 3.07

Going by the energies, A is most stable and the next is 307 meV per atom up.

## A
SrZnAu6: relaxed, PBE.

Calculated values
Density in kg/m3: 12814

Cell lengths 4.2106, 4.2106, 9.7566 Å; angles 90.00, 90.00, 90.00 degrees
With the nearest neighbours (Å) after each atom.
Fractional coordinates of all 8 atoms:
Sr1 0.0000 0.0000 0.0000  8 Au 3.26
Zn1 0.0000 0.0000 0.5000  8 Au 2.65
Au1 0.0000 0.5000 0.3351  2 Zn 2.65, 2 Au 2.86
Au2 0.0000 0.5000 0.6649  2 Zn 2.65, 2 Au 2.86
Au3 0.5000 0.0000 0.3351  2 Zn 2.65, 2 Au 2.86
Au4 0.5000 0.0000 0.6649  2 Zn 2.65, 2 Au 2.86
Au5 0.5000 0.5000 0.1373  5 Au 2.68-2.86
Au6 0.5000 0.5000 0.8627  5 Au 2.68-2.86

## B
SrZnAu6: relaxed, PBE.

Calculated values
Density in kg/m3: 12783

Cell lengths 5.7659, 5.7659, 5.7659 Å; angles 74.21, 74.21, 74.21 degrees
With the nearest neighbours (Å) after each atom.
Fractional coordinates of all 8 atoms:
Sr1 0.0000 0.0000 0.0000  12 Au 3.27-3.36
Zn1 0.5000 0.5000 0.5000  6 Au 2.60
Au1 0.0316 0.6994 0.5821  1 Zn 2.60, 3 Au 2.81-2.85
Au2 0.3006 0.4179 0.9684  1 Zn 2.60, 3 Au 2.81-2.85
Au3 0.4179 0.9684 0.3006  1 Zn 2.60, 3 Au 2.81-2.85
Au4 0.5821 0.0316 0.6994  1 Zn 2.60, 3 Au 2.81-2.85
Au5 0.6994 0.5821 0.0316  1 Zn 2.60, 3 Au 2.81-2.85
Au6 0.9684 0.3006 0.4179  1 Zn 2.60, 3 Au 2.81-2.85

Going by the energies, A is most stable and the next is 28 meV per atom up.

## A
SrZn3Au3: relaxed, PBE.

Calculated values
Density in kg/m3: 10261

Cell lengths 8.9514, 4.0766, 8.9569 Å; angles 90.00, 119.97, 90.00 degrees
With the nearest neighbours (Å) after each atom.
Fractional coordinates of all 14 atoms:
Sr1 0.1666 0.2500 0.3331  9 Au 3.05-3.24
Sr2 0.8334 0.7500 0.6669  9 Au 3.05-3.24
Zn1 0.2950 0.2500 0.9862  3 Au 2.67-2.75, 4 Zn 2.70-2.71
Zn2 0.3087 0.7500 0.7949  3 Au 2.67-2.75, 4 Zn 2.70
Zn3 0.4862 0.7500 0.1915  3 Au 2.67-2.75, 4 Zn 2.70-2.71
Zn4 0.5138 0.2500 0.8085  3 Au 2.67-2.75, 4 Zn 2.70-2.71
Zn5 0.6913 0.2500 0.2051  3 Au 2.67-2.75, 4 Zn 2.70
Zn6 0.7050 0.7500 0.0138  3 Au 2.67-2.75, 4 Zn 2.70-2.71
Au1 0.0952 0.2500 0.6321  3 Zn 2.67-2.75, 2 Au 2.94
Au2 0.1322 0.7500 0.0370  3 Zn 2.67-2.75, 2 Au 2.94
Au3 0.4627 0.7500 0.5949  3 Zn 2.67-2.75, 2 Au 2.94
Au4 0.5373 0.2500 0.4051  3 Zn 2.67-2.75, 2 Au 2.94
Au5 0.8678 0.2500 0.9630  3 Zn 2.67-2.75, 2 Au 2.94
Au6 0.9048 0.7500 0.3679  3 Zn 2.67-2.75, 2 Au 2.94

## B
SrZn3Au3: relaxed, PBE.

Calculated values
Density in kg/m3: 9939

Cell lengths 7.8263, 7.8263, 7.8263 Å; angles 54.10, 54.10, 54.10 degrees
With the nearest neighbours (Å) after each atom.
Fractional coordinates of all 14 atoms:
Sr1 0.1629 0.1629 0.1629  6 Au 3.16-3.25, 6 Zn 3.28-3.31
Sr2 0.8371 0.8371 0.8371  6 Au 3.16-3.25, 6 Zn 3.28-3.31
Zn1 0.0491 0.2202 0.6064  4 Au 2.65-2.78, 2 Zn 2.80
Zn2 0.2202 0.6064 0.0491  4 Au 2.65-2.78, 2 Zn 2.80
Zn3 0.3936 0.9509 0.7798  4 Au 2.65-2.78, 2 Zn 2.80
Zn4 0.6064 0.0491 0.2202  4 Au 2.65-2.78, 2 Zn 2.80
Zn5 0.7798 0.3936 0.9509  4 Au 2.65-2.78, 2 Zn 2.80
Zn6 0.9509 0.7798 0.3936  4 Au 2.65-2.78, 2 Zn 2.80
Au1 0.1887 0.4196 0.6569  4 Zn 2.65-2.78, 2 Au 2.89
Au2 0.3431 0.8113 0.5804  4 Zn 2.65-2.78, 2 Au 2.89
Au3 0.4196 0.6569 0.1887  4 Zn 2.65-2.78, 2 Au 2.89
Au4 0.5804 0.3431 0.8113  4 Zn 2.65-2.78, 2 Au 2.89
Au5 0.6569 0.1887 0.4196  4 Zn 2.65-2.78, 2 Au 2.89
Au6 0.8113 0.5804 0.3431  4 Zn 2.65-2.78, 2 Au 2.89

## C
SrZn3Au3: relaxed, PBE.

Calculated values
Density in kg/m3: 8051

Cell lengths 7.1194, 7.1194, 7.1194 Å; angles 90.00, 90.00, 90.00 degrees
With the nearest neighbours (Å) after each atom.
Fractional coordinates of all 14 atoms:
Sr1 0.0000 0.0000 0.0000  12 Zn 3.98, 12 Au 3.98
Sr2 0.5000 0.5000 0.5000  12 Zn 3.98, 12 Au 3.98
Zn1 0.0000 0.2500 0.5000  4 Au 2.52
Zn2 0.0000 0.7500 0.5000  4 Au 2.52
Zn3 0.2500 0.5000 0.0000  4 Au 2.52
Zn4 0.5000 0.0000 0.2500  4 Au 2.52
Zn5 0.5000 0.0000 0.7500  4 Au 2.52
Zn6 0.7500 0.5000 0.0000  4 Au 2.52
Au1 0.0000 0.5000 0.2500  4 Zn 2.52
Au2 0.0000 0.5000 0.7500  4 Zn 2.52
Au3 0.2500 0.0000 0.5000  4 Zn 2.52
Au4 0.5000 0.2500 0.0000  4 Zn 2.52
Au5 0.5000 0.7500 0.0000  4 Zn 2.52
Au6 0.7500 0.0000 0.5000  4 Zn 2.52

Going by the energies, A is most stable and the next is 12 meV per atom up.

## A
Sr2ZrAu: relaxed, PBE.

Calculated values
Density in kg/m3: 5842

Cell lengths 4.8047, 4.2568, 12.8822 Å; angles 90.00, 90.00, 90.00 degrees
With the nearest neighbours (Å) after each atom.
Fractional coordinates of all 8 atoms:
Sr1 0.0000 0.0000 0.0000  4 Zr 3.51, 3 Au 3.52-3.64
Sr2 0.0000 0.5000 0.5000  4 Zr 3.51, 3 Au 3.52-3.64
Sr3 0.5000 0.0000 0.3150  2 Zr 3.39, 4 Au 3.45
Sr4 0.5000 0.5000 0.8150  2 Zr 3.39, 4 Au 3.45
Zr1 0.5000 0.0000 0.6106  2 Au 2.77
Zr2 0.5000 0.5000 0.1106  2 Au 2.77
Au1 0.0000 0.0000 0.7177  2 Zr 2.77
Au2 0.0000 0.5000 0.2177  2 Zr 2.77

## B
Sr2ZrAu: relaxed, PBE.

Calculated values
Density in kg/m3: 4760

Cell lengths 10.9194, 10.9194, 5.4238 Å; angles 90.00, 90.00, 90.00 degrees
With the nearest neighbours (Å) after each atom.
Fractional coordinates of all 16 atoms:
Sr1 0.1171 0.2500 0.1250  2 Au 3.09
Sr2 0.2500 0.6171 0.3750  2 Au 3.09
Sr3 0.2500 0.8829 0.8750  2 Au 3.09
Sr4 0.3829 0.2500 0.6250  2 Au 3.09
Sr5 0.6171 0.7500 0.6250  2 Au 3.09
Sr6 0.7500 0.1171 0.8750  2 Au 3.09
Sr7 0.7500 0.3829 0.3750  2 Au 3.09
Sr8 0.8829 0.7500 0.1250  2 Au 3.09
Zr1 0.0000 0.0000 0.5000  2 Au 2.71
Zr2 0.0000 0.5000 0.7500  2 Au 2.71
Zr3 0.5000 0.0000 0.2500  2 Au 2.71
Zr4 0.5000 0.5000 0.0000  2 Au 2.71
Au1 0.0000 0.0000 0.0000  2 Zr 2.71
Au2 0.0000 0.5000 0.2500  2 Zr 2.71
Au3 0.5000 0.0000 0.7500  2 Zr 2.71
Au4 0.5000 0.5000 0.5000  2 Zr 2.71

Going by the energies, A is most stable and the next is 234 meV per atom up.